MgZnNi6, optimized geometry, DFT PBE; crystal system = orthorhombic; SG = Cmmm; ΔE_f = -0.0889 eV/atom; theoretical density = 7.78 Mg/m³; E_tot = -4.783 eV/atom
1.0
-1.7129 -1.5363 -5.8204
4.9493 -3.4226 1.7208
-6.2656 -7.1805 3.7393
Mg Ni Zn
4 24 4
Direct
0.2538 0.7462 0.7500 Mg
0.7462 0.2538 0.7500 Mg
0.5000 0.5000 0.4991 Mg
0.5000 0.5000 0.0009 Mg
0.2480 0.7520 0.4962 Ni
0.8787 0.6314 0.6227 Ni
0.1213 0.3686 0.6227 Ni
0.7520 0.2480 0.4962 Ni
0.3686 0.1213 0.6227 Ni
0.6314 0.8787 0.6227 Ni
0.5000 0.5000 0.2500 Ni
0.1190 0.3717 0.3728 Ni
0.3717 0.1190 0.3728 Ni
0.2480 0.7520 0.0038 Ni
0.8810 0.6283 0.1272 Ni
0.1190 0.3717 0.1272 Ni
0.7520 0.2480 0.0038 Ni
0.3717 0.1190 0.1272 Ni
0.6283 0.8810 0.1272 Ni
0.5000 0.5000 0.7500 Ni
0.1213 0.3686 0.8773 Ni
0.3686 0.1213 0.8773 Ni
0.0000 0.0000 0.2500 Ni
0.6283 0.8810 0.3728 Ni
0.8810 0.6283 0.3728 Ni
0.0000 0.0000 0.7500 Ni
0.6314 0.8787 0.8773 Ni
0.8787 0.6314 0.8773 Ni
0.2546 0.7454 0.2500 Zn
0.7454 0.2546 0.2500 Zn
0.0000 0.0000 0.4985 Zn
0.0000 0.0000 0.0015 Zn